1.
The following is a DFT calculation (PBE) of crystalline Nd3Au at its relaxed geometry.

Unit cell a=6.1611 b=6.1611 c=6.1611 alpha=135.06 beta=135.06 gamma=65.43
Last column: nearest neighbours and their distance in Å.
Atoms (fractional coordinates):
Nd1 0.0000 0.0000 0.0000  4 Au 3.33, 8 Nd 3.50
Nd2 0.2500 0.7500 0.5000  8 Nd 3.33-3.50, 4 Au 3.50
Nd3 0.7500 0.2500 0.5000  8 Nd 3.33-3.50, 4 Au 3.50
Au1 0.5000 0.5000 0.0000  12 Nd 3.33-3.50

---

2.
The following is a DFT calculation (PBE) of crystalline Nd7Au3 at its relaxed geometry.

Unit cell a=10.4498 b=10.4498 c=6.4858 alpha=90.00 beta=90.00 gamma=120.00
Last column: nearest neighbours and their distance in Å.
Atoms (fractional coordinates):
Nd1 0.0726 0.5363 0.0000  2 Au 3.03
Nd2 0.1285 0.2570 0.2922  3 Au 3.06-3.07
Nd3 0.1285 0.8715 0.2922  3 Au 3.06-3.07
Nd4 0.2570 0.1285 0.7922  3 Au 3.06-3.07
Nd5 0.3333 0.6667 0.4762  3 Au 3.07
Nd6 0.4637 0.5363 0.0000  2 Au 3.03
Nd7 0.4637 0.9274 0.0000  2 Au 3.03
Nd8 0.5363 0.0726 0.5000  2 Au 3.03
Nd9 0.5363 0.4637 0.5000  2 Au 3.03
Nd10 0.6667 0.3333 0.9762  3 Au 3.07
Nd11 0.7430 0.8715 0.2922  3 Au 3.06-3.07
Nd12 0.8715 0.1285 0.7922  3 Au 3.06-3.07
Nd13 0.8715 0.7430 0.7922  3 Au 3.06-3.07
Nd14 0.9274 0.4637 0.5000  2 Au 3.03
Au1 0.1904 0.3807 0.7317  6 Nd 3.03-3.07
Au2 0.1904 0.8096 0.7317  6 Nd 3.03-3.07
Au3 0.3807 0.1904 0.2317  6 Nd 3.03-3.07
Au4 0.6193 0.8096 0.7317  6 Nd 3.03-3.07
Au5 0.8096 0.1904 0.2317  6 Nd 3.03-3.07
Au6 0.8096 0.6193 0.2317  6 Nd 3.03-3.07

---

3.
The following is a DFT calculation (PBE) of crystalline NdAu4 at its relaxed geometry.

Unit cell a=5.5853 b=5.5853 c=5.5853 alpha=90.00 beta=90.00 gamma=90.00
Last column: nearest neighbours and their distance in Å.
Atoms (fractional coordinates):
Nd1 0.0000 0.0000 0.0000  6 Au 2.79
Au1 0.0000 0.0000 0.5000  2 Nd 2.79
Au2 0.0000 0.5000 0.0000  2 Nd 2.79
Au3 0.5000 0.0000 0.0000  2 Nd 2.79
Au4 0.5000 0.5000 0.5000  12 Au 3.95

---

4.
The following is a DFT calculation (PBE) of crystalline NdAu at its relaxed geometry.

Unit cell a=3.7170 b=3.7170 c=3.7170 alpha=90.00 beta=90.00 gamma=90.00
Last column: nearest neighbours and their distance in Å.
Atoms (fractional coordinates):
Nd1 0.0000 0.0000 0.0000  8 Au 3.22
Au1 0.5000 0.5000 0.5000  8 Nd 3.22

---

5.
The following is a DFT calculation (PBE) of crystalline Nd3Au4 at its relaxed geometry.

Unit cell a=8.3137 b=8.3137 c=8.3137 alpha=114.04 beta=114.04 gamma=114.04
Last column: nearest neighbours and their distance in Å.
Atoms (fractional coordinates):
Nd1 0.0145 0.2704 0.3982  8 Au 2.99-3.31
Nd2 0.2704 0.3982 0.0145  8 Au 2.99-3.31
Nd3 0.3982 0.0145 0.2704  8 Au 2.99-3.31
Nd4 0.6018 0.9855 0.7296  8 Au 2.99-3.31
Nd5 0.7296 0.6018 0.9855  8 Au 2.99-3.31
Nd6 0.9855 0.7296 0.6018  8 Au 2.99-3.31
Au1 0.0000 0.0000 0.0000  6 Nd 3.07, 2 Au 3.10
Au2 0.0719 0.5630 0.2336  6 Nd 2.99-3.31, 3 Au 3.08-3.18
Au3 0.2336 0.0719 0.5630  6 Nd 2.99-3.31, 3 Au 3.08-3.18
Au4 0.4370 0.7664 0.9281  6 Nd 2.99-3.31, 3 Au 3.08-3.18
Au5 0.5000 0.5000 0.5000  2 Au 3.10, 6 Nd 3.21
Au6 0.5630 0.2336 0.0719  6 Nd 2.99-3.31, 3 Au 3.08-3.18
Au7 0.7664 0.9281 0.4370  6 Nd 2.99-3.31, 3 Au 3.08-3.18
Au8 0.9281 0.4370 0.7664  6 Nd 2.99-3.31, 3 Au 3.08-3.18

---

6.
The following is a DFT calculation (PBE) of crystalline Nd3Au2 at its relaxed geometry.

Unit cell a=8.4365 b=8.4365 c=3.9253 alpha=90.00 beta=90.00 gamma=90.00
Last column: nearest neighbours and their distance in Å.
Atoms (fractional coordinates):
Nd1 0.0000 0.0000 0.0000  4 Au 3.32, 8 Nd 3.71
Nd2 0.1647 0.3353 0.5000  6 Au 3.15-3.17
Nd3 0.3353 0.8353 0.5000  6 Au 3.15-3.17
Nd4 0.5000 0.5000 0.0000  4 Au 3.32, 8 Nd 3.71
Nd5 0.6647 0.1647 0.5000  6 Au 3.15-3.17
Nd6 0.8353 0.6647 0.5000  6 Au 3.15-3.17
Au1 0.1285 0.6285 0.0000  1 Au 3.07, 8 Nd 3.15-3.32
Au2 0.3715 0.1285 0.0000  1 Au 3.07, 8 Nd 3.15-3.32
Au3 0.6285 0.8715 0.0000  1 Au 3.07, 8 Nd 3.15-3.32
Au4 0.8715 0.3715 0.0000  1 Au 3.07, 8 Nd 3.15-3.32

---

7.
The following is a DFT calculation (PBE) of crystalline Nd2Au3 at its relaxed geometry.

Unit cell a=14.3761 b=14.3761 c=4.6917 alpha=90.00 beta=90.00 gamma=165.02
Last column: nearest neighbours and their distance in Å.
Atoms (fractional coordinates):
Nd1 0.0714 0.9286 0.7500  12 Au 3.29-3.66
Nd2 0.2048 0.7952 0.2500  7 Au 3.05-3.24
Nd3 0.7952 0.2048 0.7500  7 Au 3.05-3.24
Nd4 0.9286 0.0714 0.2500  12 Au 3.29-3.66
Au1 0.3184 0.6816 0.2500  2 Au 2.93, 5 Nd 3.07-3.24
Au2 0.3798 0.6202 0.7500  3 Au 2.73-2.93, 2 Nd 3.05
Au3 0.4756 0.5244 0.7500  3 Au 2.73
Au4 0.5244 0.4756 0.2500  3 Au 2.73
Au5 0.6202 0.3798 0.2500  3 Au 2.73-2.93, 2 Nd 3.05
Au6 0.6816 0.3184 0.7500  2 Au 2.93, 5 Nd 3.07-3.24

---

8.
The following is a DFT calculation (PBE) of crystalline NdAu12 at its relaxed geometry.

Unit cell a=8.0654 b=8.0654 c=8.0654 alpha=60.00 beta=60.00 gamma=60.00
Last column: nearest neighbours and their distance in Å.
Atoms (fractional coordinates):
Nd1 0.0000 0.0000 0.0000  24 Au 4.24
Au1 0.1607 0.5000 0.5000  5 Au 2.59-2.74
Au2 0.1607 0.5000 0.8393  5 Au 2.59-2.74
Au3 0.1607 0.8393 0.5000  5 Au 2.59-2.74
Au4 0.5000 0.1607 0.5000  5 Au 2.59-2.74
Au5 0.5000 0.1607 0.8393  5 Au 2.59-2.74
Au6 0.5000 0.5000 0.1607  5 Au 2.59-2.74
Au7 0.5000 0.5000 0.8393  5 Au 2.59-2.74
Au8 0.5000 0.8393 0.1607  5 Au 2.59-2.74
Au9 0.5000 0.8393 0.5000  5 Au 2.59-2.74
Au10 0.8393 0.1607 0.5000  5 Au 2.59-2.74
Au11 0.8393 0.5000 0.1607  5 Au 2.59-2.74
Au12 0.8393 0.5000 0.5000  5 Au 2.59-2.74

---

9.
The following is a DFT calculation (PBE) of crystalline NdAu6 at its relaxed geometry.

Unit cell a=5.5641 b=5.5641 c=9.3272 alpha=97.54 beta=97.54 gamma=90.00
Last column: nearest neighbours and their distance in Å.
Atoms (fractional coordinates):
Nd1 0.1855 0.8145 0.7500  14 Au 3.19-3.31
Nd2 0.8145 0.1855 0.2500  14 Au 3.19-3.31
Au1 0.0368 0.6623 0.1295  8 Au 2.78-2.96
Au2 0.1138 0.2760 0.5792  6 Au 2.82-3.05
Au3 0.2760 0.1138 0.0792  6 Au 2.82-3.05
Au4 0.3377 0.9632 0.3705  8 Au 2.78-2.96
Au5 0.3426 0.4607 0.3637  8 Au 2.78-3.05
Au6 0.4607 0.3426 0.8637  8 Au 2.78-3.05
Au7 0.5393 0.6574 0.1363  8 Au 2.78-3.05
Au8 0.6574 0.5393 0.6363  8 Au 2.78-3.05
Au9 0.6623 0.0368 0.6295  8 Au 2.78-2.96
Au10 0.7240 0.8862 0.9208  6 Au 2.82-3.05
Au11 0.8862 0.7240 0.4208  6 Au 2.82-3.05
Au12 0.9632 0.3377 0.8705  8 Au 2.78-2.96

---

10.
The following is a DFT calculation (PBE) of crystalline Nd3Au at its relaxed geometry.

Unit cell a=9.2861 b=9.2861 c=9.2861 alpha=96.82 beta=96.82 gamma=139.68
Last column: nearest neighbours and their distance in Å.
Atoms (fractional coordinates):
Nd1 0.0956 0.5889 0.6938  2 Au 3.14-3.15, 2 Nd 3.38-3.48
Nd2 0.1125 0.2490 0.8555  4 Au 3.09-3.31
Nd3 0.2043 0.2969 0.4924  2 Au 3.15-3.17, 1 Nd 3.48
Nd4 0.2881 0.7957 0.0926  2 Au 3.15-3.17, 1 Nd 3.48
Nd5 0.3935 0.2569 0.1445  4 Au 3.09-3.31
Nd6 0.4111 0.1049 0.5066  2 Au 3.14-3.15, 2 Nd 3.38-3.48
Nd7 0.5982 0.9044 0.4934  2 Au 3.14-3.15, 2 Nd 3.38-3.48
Nd8 0.7031 0.1955 0.9074  2 Au 3.15-3.17, 1 Nd 3.48
Nd9 0.7431 0.8875 0.1366  4 Au 3.09-3.31
Nd10 0.7510 0.6065 0.8634  4 Au 3.09-3.31
Nd11 0.8045 0.7119 0.5076  2 Au 3.15-3.17, 1 Nd 3.48
Nd12 0.8951 0.4018 0.3062  2 Au 3.14-3.15, 2 Nd 3.38-3.48
Au1 0.2407 0.4541 0.2016  8 Nd 3.09-3.31
Au2 0.2525 0.0391 0.7984  8 Nd 3.09-3.31
Au3 0.5459 0.7475 0.7866  8 Nd 3.09-3.31
Au4 0.9609 0.7593 0.2134  8 Nd 3.09-3.31

---

11.
The following is a DFT calculation (PBE) of crystalline Nd2Au3 at its relaxed geometry.

Unit cell a=8.9092 b=8.9092 c=8.9092 alpha=109.47 beta=109.47 gamma=109.47
Last column: nearest neighbours and their distance in Å.
Atoms (fractional coordinates):
Nd1 0.0000 0.4216 0.5000  6 Au 3.02-3.05
Nd2 0.0000 0.9216 0.5000  6 Au 3.02-3.05
Nd3 0.0784 0.0784 0.0784  6 Au 3.02-3.05
Nd4 0.4216 0.5000 0.0000  6 Au 3.02-3.05
Nd5 0.5000 0.0000 0.4216  6 Au 3.02-3.05
Nd6 0.5000 0.0000 0.9216  6 Au 3.02-3.05
Nd7 0.5784 0.5784 0.5784  6 Au 3.02-3.05
Nd8 0.9216 0.5000 0.0000  6 Au 3.02-3.05
Au1 0.0109 0.2609 0.7500  1 Au 2.80, 4 Nd 3.02-3.05
Au2 0.2391 0.2500 0.4891  1 Au 2.80, 4 Nd 3.02-3.05
Au3 0.2500 0.4891 0.2391  1 Au 2.80, 4 Nd 3.02-3.05
Au4 0.2500 0.7609 0.5109  1 Au 2.80, 4 Nd 3.02-3.05
Au5 0.2609 0.7500 0.0109  1 Au 2.80, 4 Nd 3.02-3.05
Au6 0.4891 0.2391 0.2500  1 Au 2.80, 4 Nd 3.02-3.05
Au7 0.5109 0.2500 0.7609  1 Au 2.80, 4 Nd 3.02-3.05
Au8 0.7391 0.9891 0.7500  1 Au 2.80, 4 Nd 3.02-3.05
Au9 0.7500 0.0109 0.2609  1 Au 2.80, 4 Nd 3.02-3.05
Au10 0.7500 0.7391 0.9891  1 Au 2.80, 4 Nd 3.02-3.05
Au11 0.7609 0.5109 0.2500  1 Au 2.80, 4 Nd 3.02-3.05
Au12 0.9891 0.7500 0.7391  1 Au 2.80, 4 Nd 3.02-3.05

---

12.
The following is a DFT calculation (PBE) of crystalline NdAu6 at its relaxed geometry.

Unit cell a=6.4050 b=6.4050 c=6.4050 alpha=109.47 beta=109.47 gamma=109.47
Last column: nearest neighbours and their distance in Å.
Atoms (fractional coordinates):
Nd1 0.0000 0.0000 0.0000  24 Au 4.13
Au1 0.2500 0.5000 0.7500  4 Au 2.61
Au2 0.2500 0.7500 0.5000  4 Au 2.61
Au3 0.5000 0.2500 0.7500  4 Au 2.61
Au4 0.5000 0.7500 0.2500  4 Au 2.61
Au5 0.7500 0.2500 0.5000  4 Au 2.61
Au6 0.7500 0.5000 0.2500  4 Au 2.61

---

| no. | volume (Å³ per cell) | calculated total energy (eV/atom) | total moment (μB per formula unit) |
| --- | --- | --- | --- |
| 1 | 115.0 | -4.6058 | 0.0 |
| 2 | 613.3 | -4.8066 | 0.0 |
| 3 | 174.2 | -2.8822 | 0.0 |
| 4 | 51.4 | -4.7877 | 0.0 |
| 5 | 348.0 | -4.7227 | 0.0 |
| 6 | 279.4 | -4.8059 | 0.0 |
| 7 | 250.7 | -4.6400 | 0.0 |
| 8 | 371.0 | -2.9362 | 0.0 |
| 9 | 283.7 | -3.9020 | 0.0 |
| 10 | 486.4 | -4.7438 | 0.0 |
| 11 | 544.4 | -4.4886 | 0.0 |
| 12 | 202.3 | -3.1227 | 0.0 |